A geometry-optimized Re2AsIr structure. Source: the Alexandria database, functional GGA-PBE.

Unit cell a=2.870 b=3.917 c=5.425 alpha=90.00 beta=90.00 gamma=90.00
Fractional positions:
Re  0.000  0.000  0.028
Re  0.500  0.500  0.225
As  0.000  0.000  0.516
Ir  0.500  0.500  0.730

* VASP energy: -9.312 eV/atom
* DOS at the Fermi energy: 2.86 states/eV/cell

=====

A geometry-optimized Re2AsIr structure. Source: the Alexandria database, functional GGA-PBE.

Unit cell a=8.651 b=8.651 c=8.651 alpha=18.88 beta=18.88 gamma=18.88
Fractional positions:
Re  0.997  0.997  0.997
Re  0.503  0.503  0.503
As  0.250  0.250  0.250
Ir  0.750  0.750  0.750

* VASP energy: -9.424 eV/atom
* DOS at the Fermi energy: 2.06 states/eV/cell

=====

A geometry-optimized Re2AsIr structure. Source: the Alexandria database, functional GGA-PBE.

Unit cell a=4.066 b=2.817 c=5.441 alpha=73.88 beta=90.00 gamma=90.00
Fractional positions:
Re  0.000  0.120  0.007
Re  0.000  0.380  0.493
As  0.500  0.250  0.250
Ir  0.500  0.750  0.750

* VASP energy: -9.367 eV/atom
* DOS at the Fermi energy: 2.87 states/eV/cell

=====

A geometry-optimized ReAsIr3 structure. Source: the Alexandria database, functional GGA-PBE.

Unit cell a=4.535 b=4.535 c=4.535 alpha=90.00 beta=90.00 gamma=90.00
Site moments in Bohr magnetons follow the coordinates.
Fractional positions:
Re  0.500  0.500  0.500  3.04
As  0.000  0.000  0.000  0.05
Ir  0.000  0.500  0.000  0.45
Ir  0.000  0.000  0.500  0.37
Ir  0.500  0.000  0.000  0.56

* VASP energy: -7.091 eV/atom
* polymorph energy (0 for the lowest one): 0.0 meV per atom
* DOS at the Fermi energy: 5.76 states/eV/cell